(i)
Computed, not measured: an optimized crystal structure of LaNd5Y4 at the PBE level of DFT.

Output
The total magnetic moment is 0.000 μB per cell.

Lattice parameters (Å, degrees): 3.658 3.658 25.580 90.00 90.00 90.00
Space group P4/mmm (No. 123)
Asymmetric unit:
La 0.000 0.000 0.000 x1
Nd 0.500 0.500 0.103 x2
Nd 0.500 0.500 0.302 x2
Nd 0.500 0.500 0.500 x1
Y 0.000 0.000 0.203 x2
Y 0.000 0.000 0.401 x2

---

(ii)
Computed, not measured: an optimized crystal structure of LaNd5Y4 at the PBE level of DFT.

Output
The total magnetic moment is 0.000 μB per cell.

Lattice parameters (Å, degrees): 28.653 3.519 6.931 90.00 97.21 90.00
Space group C2/m (No. 12)
Asymmetric unit:
La 0.000 0.000 0.000 x2
Nd 0.000 0.000 0.500 x2
Nd 0.201 0.500 0.599 x4
Nd 0.205 0.500 0.103 x4
Y 0.095 0.500 0.305 x4
Y 0.108 0.000 0.808 x4

---

Energy ordering: (i) at the bottom, the next structure 12.1 kJ/mol of atoms above.

---

(i)
Computed, not measured: an optimized crystal structure of LaNd5Y3 at the PBE level of DFT.

Output
The total magnetic moment is 0.002 μB per cell.

Lattice parameters (Å, degrees): 15.449 11.759 10.016 90.00 129.67 90.00
Space group C2/m (No. 12)
Asymmetric unit:
La 0.250 0.000 0.081 x4
Nd 0.000 0.246 0.500 x4
Nd 0.143 0.249 0.242 x8
Nd 0.228 0.500 0.553 x4
Nd 0.229 0.000 0.731 x4
Y 0.000 0.000 0.000 x2
Y 0.000 0.500 0.500 x2
Y 0.006 0.000 0.323 x4
Y 0.013 0.500 0.852 x4

---

(ii)
Computed, not measured: an optimized crystal structure of LaNd5Y3 at the PBE level of DFT.

Output
The total magnetic moment is 0.000 μB per cell.

Lattice parameters (Å, degrees): 18.814 6.519 11.447 90.00 113.13 90.00
Space group C2/c (No. 15)
Asymmetric unit:
La 0.000 0.138 0.250 x4
Nd 0.000 0.400 0.750 x4
Nd 0.169 0.179 0.866 x8
Nd 0.169 0.294 0.209 x8
Y 0.000 0.000 0.000 x4
Y 0.161 0.300 0.515 x8

---

Energy ordering: (ii) at the bottom, the next structure 18.2 kJ/mol of atoms above.

---

(i)
Computed, not measured: an optimized crystal structure of La3NdY4 at the PBE level of DFT.

Output
The total magnetic moment is 0.000 μB per cell.

Lattice parameters (Å, degrees): 3.496 11.904 13.356 90.00 90.00 90.00
Space group Immm (No. 71)
Asymmetric unit:
La 0.000 0.000 0.000 x2
La 0.000 0.500 0.242 x4
Nd 0.000 0.000 0.500 x2
Y 0.000 0.249 0.366 x8

---

(ii)
Computed, not measured: an optimized crystal structure of La3NdY4 at the PBE level of DFT.

Output
The total magnetic moment is 0.000 μB per cell.

Lattice parameters (Å, degrees): 11.732 7.381 6.405 90.00 90.00 90.00
Space group Pmn2_1 (No. 31)
Asymmetric unit:
La 0.000 0.127 0.000 x2
La 0.250 0.123 0.325 x4
Nd 0.000 0.872 0.499 x2
Y 0.000 0.378 0.497 x2
Y 0.000 0.623 0.997 x2
Y 0.249 0.621 0.330 x4

---

Energy ordering: (ii) at the bottom, the next structure 9.9 kJ/mol of atoms above.

---

(i)
Computed, not measured: an optimized crystal structure of LaNdY2 at the PBE level of DFT.

Output
The total magnetic moment is 0.000 μB per cell.

Lattice parameters (Å, degrees): 5.194 5.194 5.065 90.00 90.00 90.00
Space group P4/mmm (No. 123)
Asymmetric unit:
La 0.000 0.000 0.000 x1
Nd 0.500 0.500 0.000 x1
Y 0.000 0.500 0.500 x2

---

(ii)
Computed, not measured: an optimized crystal structure of LaNdY2 at the PBE level of DFT.

Output
The total magnetic moment is 0.000 μB per cell.

Lattice parameters (Å, degrees): 8.206 8.206 8.206 90.00 90.00 90.00
Space group Fm-3m (No. 225)
Asymmetric unit:
La 0.000 0.000 0.000 x4
Nd 0.000 0.000 0.500 x4
Y 0.250 0.250 0.250 x8

---

Energy ordering: (i) at the bottom, the next structure 6.5 kJ/mol of atoms above.

---

(i)
Computed, not measured: an optimized crystal structure of LaNdY2 at the PBE level of DFT.

Output
The total magnetic moment is 0.001 μB per cell.

Lattice parameters (Å, degrees): 3.6509 3.6509 35.5389 90.00 90.00 120.00
Space group R3m (No. 160, hexagonal axes)
Asymmetric unit:
La 0.0000 0.0000 0.0000 x3
Nd 0.0000 0.0000 0.8339 x3
Y 0.0000 0.0000 0.2490 x3
Y 0.0000 0.0000 0.4186 x3

---

(ii)
Computed, not measured: an optimized crystal structure of LaNdY2 at the PBE level of DFT.

Output
The total magnetic moment is 0.000 μB per cell.

Lattice parameters (Å, degrees): 3.6522 3.6522 35.2720 90.00 90.00 120.00
Space group R-3m (No. 166, hexagonal axes)
Asymmetric unit:
La 0.0000 0.0000 0.0000 x3
Nd 0.0000 0.0000 0.5000 x3
Y 0.0000 0.0000 0.2494 x6

---

Energy ordering: (ii) at the bottom, the next structure 1.4 kJ/mol of atoms above.

---

(i)
Computed, not measured: an optimized crystal structure of LaNd2Y7 at the PBE level of DFT.

Output
The total magnetic moment is 0.000 μB per cell.

Lattice parameters (Å, degrees): 6.258 7.229 8.078 103.03 97.42 106.68
Space group P-1 (No. 2)
Asymmetric unit:
La 0.000 0.000 0.000 x1
Nd 0.402 0.301 0.800 x2
Y 0.000 0.500 0.000 x1
Y 0.199 0.900 0.403 x2
Y 0.201 0.400 0.401 x2
Y 0.399 0.798 0.797 x2

---

(ii)
Computed, not measured: an optimized crystal structure of LaNd2Y7 at the PBE level of DFT.

Output
The total magnetic moment is 0.000 μB per cell.

Lattice parameters (Å, degrees): 8.768 16.431 5.595 90.00 90.00 90.00
Space group Cmmm (No. 65)
Asymmetric unit:
La 0.000 0.000 0.000 x2
Nd 0.000 0.298 0.500 x4
Y 0.000 0.219 0.000 x4
Y 0.000 0.500 0.500 x2
Y 0.177 0.115 0.500 x8

---

Energy ordering: (i) at the bottom, the next structure 63.0 kJ/mol of atoms above.

---

(i)
Computed, not measured: an optimized crystal structure of La5NdY2 at the PBE level of DFT.

Output
The total magnetic moment is 0.000 μB per cell.

Lattice parameters (Å, degrees): 5.723 12.169 16.651 90.00 90.00 90.00
Space group Cmcm (No. 63)
Asymmetric unit:
La 0.000 0.030 0.250 x4
La 0.000 0.116 0.551 x8
La 0.000 0.424 0.593 x8
Nd 0.000 0.249 0.750 x4
Y 0.000 0.274 0.135 x8

---

(ii)
Computed, not measured: an optimized crystal structure of La5NdY2 at the PBE level of DFT.

Output
The total magnetic moment is 0.000 μB per cell.

Lattice parameters (Å, degrees): 3.637 11.462 13.652 90.00 90.00 90.00
Space group Immm (No. 71)
Asymmetric unit:
La 0.000 0.000 0.000 x2
La 0.000 0.268 0.371 x8
Nd 0.000 0.500 0.000 x2
Y 0.000 0.000 0.257 x4

---

Energy ordering: (ii) at the bottom, the next structure 7.7 kJ/mol of atoms above.

---

(i)
Computed, not measured: an optimized crystal structure of LaNd3Y4 at the PBE level of DFT.

Output
The total magnetic moment is 0.008 μB per cell.

Lattice parameters (Å, degrees): 11.673 7.381 6.374 90.00 90.00 90.00
Space group Pmn2_1 (No. 31)
Asymmetric unit:
La 0.000 0.124 0.000 x2
Nd 0.000 0.873 0.501 x2
Nd 0.249 0.127 0.331 x4
Y 0.000 0.379 0.497 x2
Y 0.000 0.623 0.998 x2
Y 0.249 0.622 0.333 x4

---

(ii)
Computed, not measured: an optimized crystal structure of LaNd3Y4 at the PBE level of DFT.

Output
The total magnetic moment is 0.000 μB per cell.

Lattice parameters (Å, degrees): 3.466 11.793 13.346 90.00 90.00 90.00
Space group Immm (No. 71)
Asymmetric unit:
La 0.000 0.000 0.000 x2
Nd 0.000 0.000 0.500 x2
Nd 0.000 0.500 0.259 x4
Y 0.000 0.252 0.134 x8

---

Energy ordering: (i) at the bottom, the next structure 10.0 kJ/mol of atoms above.